A relaxed structure of Cs12Ag2Hg5. Source: the Alexandria database, functional PBE.

Cell and atoms, written as POSCAR:
```
Cs12Ag2Hg5
1.0
-5.243 6.890 -6.111
-5.041 -6.518 -6.665
-9.860 -0.344 4.741
Cs Hg Ag
12 5 2
direct
0.393 0.393 0.796
0.993 0.660 0.827
0.007 0.340 0.173
0.660 0.993 0.827
0.415 0.816 0.616
0.340 0.007 0.173
0.607 0.607 0.204
0.906 0.906 0.191
0.816 0.415 0.616
0.184 0.585 0.384
0.094 0.094 0.809
0.585 0.184 0.384
0.000 0.000 0.500
0.196 0.196 0.465
0.609 0.609 0.871
0.804 0.804 0.535
0.391 0.391 0.129
0.679 0.321 0.000
0.321 0.679 0.000
```

Results
symmetry	C2/m (12)
energy of formation from the pure elements	-0.071	eV/atom

***

A relaxed structure of Cs6AgHg. Source: the Alexandria database, functional PBE.

Cell and atoms, written as POSCAR:
```
Cs6AgHg
1.0
-5.534 -2.378 6.528
-4.407 -5.706 -5.803
2.776 -8.787 -0.859
Cs Hg Ag
6 1 1
direct
0.256 0.356 0.686
0.744 0.686 0.356
0.258 0.686 0.021
0.742 0.356 0.021
0.742 0.021 0.686
0.258 0.021 0.356
0.000 0.021 0.021
0.500 0.021 0.021
```

Results
symmetry	C2/m (12)
energy of formation from the pure elements	-0.032	eV/atom

***

A relaxed structure of Cs2AgHg. Source: the Alexandria database, functional PBE.

Cell and atoms, written as POSCAR:
```
Cs2AgHg
1.0
4.378 -4.705 -0.707
1.903 -3.444 5.131
-1.782 -6.188 0.582
Hg Ag Cs
1 1 2
direct
0.500 0.500 0.500
0.000 0.000 0.000
0.250 0.250 0.250
0.750 0.750 0.750
```

Results
symmetry	Fm-3m (225)
energy above the most stable polymorph in this dataset	65	meV/atom
energy of formation from the pure elements	-0.056	eV/atom

***

A relaxed structure of Cs4AgHg5. Source: the Alexandria database, functional PBE.

Cell and atoms, written as POSCAR:
```
Cs4AgHg5
1.0
6.096 0.000 2.163
3.048 8.321 1.081
0.266 0.000 8.924
Hg Cs Ag
5 4 1
direct
0.802 0.312 0.000
0.802 0.000 0.312
0.115 0.688 0.000
0.115 0.000 0.688
0.660 0.000 0.000
0.448 0.710 0.290
0.158 0.290 0.290
0.737 0.710 0.710
0.448 0.290 0.710
0.205 0.000 0.000
```

Results
symmetry	I4mm (107)
energy of formation from the pure elements	-0.178	eV/atom